Entry 1:
This record from the Alexandria database describes crystalline TeIr3Ru at its relaxed geometry. The functional is GGA-PBE.

## Properties
Its space-group type is Pm-3m. The energy relative to the lowest polymorph listed for this composition comes out at 0 meV/atom. The density of states at the Fermi level is 7.12 states/eV/f.u. The calculation puts the formation energy (no corrections) at 1.665 eV per atom. The energy is -30.67 eV per cell.

abc: 4.7272 4.7272 4.7272
angles: 90.00 90.00 90.00
Element x y z (fractional)
1 Ir 0.0000 0.0000 0.5000
2 Te 0.5000 0.5000 0.5000
3 Ir 0.0000 0.5000 0.0000
4 Ir 0.5000 0.0000 0.0000
5 Ru 0.0000 0.0000 0.0000

***

Entry 2:
This record from the Alexandria database describes crystalline Te2IrRu at its relaxed geometry. The functional is GGA-PBE.

## Properties
Its space-group type is P2/m. The energy relative to the lowest polymorph listed for this composition comes out at 873 meV/atom. The density of states at the Fermi level is 4.27 states/eV/f.u. The calculation puts the formation energy (no corrections) at 0.775 eV per atom. The energy is -21.32 eV per cell.

abc: 4.5694 3.1084 5.4470
angles: 89.09 90.00 90.00
Element x y z (fractional)
1 Ru 0.5000 0.7500 0.7500
2 Ir 0.5000 0.2500 0.2500
3 Te 0.0000 0.9922 0.0005
4 Te 0.0000 0.5078 0.4995

***

Entry 3:
This record from the Alexandria database describes crystalline Te2IrRu at its relaxed geometry. The functional is GGA-PBE.

## Properties
Its space-group type is C2/m. The energy relative to the lowest polymorph listed for this composition comes out at 492 meV/atom. The density of states at the Fermi level is 5.38 states/eV/f.u. The calculation puts the formation energy (no corrections) at 0.394 eV per atom. The energy is -22.85 eV per cell.

abc: 4.3974 4.3974 5.7510
angles: 76.62 76.62 45.86
Element x y z (fractional)
1 Ru 0.2500 0.2500 0.2500
2 Ir 0.7500 0.7500 0.7500
3 Te 0.9993 0.9993 0.0026
4 Te 0.5007 0.5007 0.4974

***

Entry 4:
This record from the Alexandria database describes crystalline TeIrRu2 at its relaxed geometry. The functional is GGA-PBE.

## Properties
Its space-group type is Cmm2. The density of states at the Fermi level is 5.15 states/eV/f.u. The calculation puts the formation energy (no corrections) at 0.809 eV per atom. The energy is -27.32 eV per cell.

abc: 2.8665 2.8665 9.4677
angles: 90.00 90.00 119.76
Element x y z (fractional)
1 Ir 0.5000 0.5000 0.7676
2 Ru 0.0000 0.0000 0.0039
3 Ru 0.5000 0.5000 0.2341
4 Te 0.0000 0.0000 0.4943

***

Entry 5:
This record from the Alexandria database describes crystalline TeIrRu2 at its relaxed geometry. The functional is GGA-PBE.

## Properties
Its space-group type is Pmm2. The density of states at the Fermi level is 4.31 states/eV/f.u. The calculation puts the formation energy (no corrections) at 0.400 eV per atom. The energy is -28.95 eV per cell.

abc: 2.9453 3.7867 5.8125
angles: 90.00 90.00 90.00
Element x y z (fractional)
1 Ir 0.5000 0.5000 0.7785
2 Ru 0.0000 0.0000 0.0053
3 Ru 0.5000 0.5000 0.2286
4 Te 0.0000 0.0000 0.4876

***

Entry 6:
This record from the Alexandria database describes crystalline TeIrRu2 at its relaxed geometry. The functional is GGA-PBE.

## Properties
Its space-group type is P4mm. The density of states at the Fermi level is 4.23 states/eV/f.u. The calculation puts the formation energy (no corrections) at 0.472 eV per atom. The energy is -28.67 eV per cell.

abc: 2.9429 2.9429 7.5343
angles: 90.00 90.00 90.00
Element x y z (fractional)
1 Ru 0.0000 0.0000 0.0062
2 Ru 0.5000 0.5000 0.2309
3 Te 0.0000 0.0000 0.4922
4 Ir 0.5000 0.5000 0.7707

***

Entry 7:
This record from the Alexandria database describes crystalline Te2IrRu at its relaxed geometry. The functional is GGA-PBE.

## Properties
Its space-group type is Pmm2. The energy relative to the lowest polymorph listed for this composition comes out at 230 meV/atom. The density of states at the Fermi level is 3.25 states/eV/f.u. The calculation puts the formation energy (no corrections) at 0.132 eV per atom. The energy is -23.89 eV per cell.

abc: 3.8472 3.3098 6.9516
angles: 90.00 90.00 90.00
Element x y z (fractional)
1 Te 0.0000 0.0000 0.8881
2 Ir 0.0000 0.0000 0.5106
3 Ru 0.5000 0.5000 0.7379
4 Te 0.5000 0.5000 0.3634

***

Entry 8:
This record from the Alexandria database describes crystalline Te2IrRu at its relaxed geometry. The functional is GGA-PBE.

## Properties
Its space-group type is P4/mmm. The energy relative to the lowest polymorph listed for this composition comes out at 546 meV/atom. The density of states at the Fermi level is 4.08 states/eV/f.u. The calculation puts the formation energy (no corrections) at 0.448 eV per atom. The energy is -22.63 eV per cell.

abc: 3.3800 3.3828 6.5873
angles: 90.00 90.00 90.00
Element x y z (fractional)
1 Te 0.0000 0.0000 0.9988
2 Ir 0.5000 0.5000 0.2500
3 Te 0.0000 0.0000 0.5012
4 Ru 0.5000 0.5000 0.7500

***

Entry 9:
This record from the Alexandria database describes crystalline TeIrRu2 at its relaxed geometry. The functional is GGA-PBE.

## Properties
Its space-group type is Cm. The density of states at the Fermi level is 3.69 states/eV/f.u. The calculation puts the formation energy (no corrections) at 0.362 eV per atom. The energy is -29.11 eV per cell.

abc: 4.7926 4.7926 4.8304
angles: 81.11 81.11 36.00
Element x y z (fractional)
1 Te 0.4975 0.4975 0.5092
2 Ru 0.7421 0.7421 0.7710
3 Ir 0.2589 0.2589 0.2200
4 Ru 0.0014 0.0014 0.9998

***

Entry 10:
This record from the Alexandria database describes crystalline TeIrRu2 at its relaxed geometry. The functional is GGA-PBE.

## Properties
Its space-group type is P4/mmm. The density of states at the Fermi level is 4.82 states/eV/f.u. The calculation puts the formation energy (no corrections) at 0.446 eV per atom. The energy is -28.77 eV per cell.

abc: 2.9667 2.9667 7.3167
angles: 90.00 90.00 90.00
Element x y z (fractional)
1 Te 0.5000 0.5000 0.2500
2 Ir 0.5000 0.5000 0.7500
3 Ru 0.0000 0.0000 0.5105
4 Ru 0.0000 0.0000 0.9895

***

Entry 11:
This record from the Alexandria database describes crystalline Te2IrRu at its relaxed geometry. The functional is GGA-PBE.

## Properties
Its space-group type is Cm. The energy relative to the lowest polymorph listed for this composition comes out at 343 meV/atom. The density of states at the Fermi level is 3.34 states/eV/f.u. The calculation puts the formation energy (no corrections) at 0.245 eV per atom. The energy is -23.44 eV per cell.

abc: 4.4064 4.4064 6.7367
angles: 95.39 95.39 46.77
Element x y z (fractional)
1 Ir 0.5249 0.5249 0.4963
2 Ru 0.2246 0.2246 0.2555
3 Te 0.9175 0.9175 0.1191
4 Te 0.8330 0.8330 0.6291

***

Entry 12:
This record from the Alexandria database describes crystalline TeIrRu2 at its relaxed geometry. The functional is GGA-PBE.

## Properties
Its space-group type is C2/m. The density of states at the Fermi level is 3.02 states/eV/f.u. The calculation puts the formation energy (no corrections) at 0.369 eV per atom. The energy is -29.08 eV per cell.

abc: 4.6925 4.6925 5.0337
angles: 78.62 78.62 36.66
Element x y z (fractional)
1 Ir 0.2500 0.2500 0.2500
2 Ru 0.9992 0.9992 0.0286
3 Te 0.7500 0.7500 0.7500
4 Ru 0.5008 0.5008 0.4714

***

Entry 13:
This record from the Alexandria database describes crystalline Th8Te4IrRu3 at its relaxed geometry. The functional is GGA-PBE.

## Properties
Its space-group type is R-3m. The density of states at the Fermi level is 7.22 states/eV/f.u. The calculation puts the formation energy (no corrections) at -0.958 eV per atom. The energy is -123.94 eV per cell.

abc: 8.3566 9.0885 8.3570
angles: 117.37 120.00 90.00
Element x y z (fractional)
1 Te 0.0000 0.0000 0.0000
2 Ir 0.0000 0.5000 0.0000
3 Th 0.2667 0.3004 0.5334
4 Ru 0.5000 0.5000 0.5000
5 Th 0.2347 0.6996 0.9650
6 Th 0.2346 0.6996 0.4693
7 Th 0.7333 0.6996 0.4666
8 Th 0.2697 0.3004 0.0350
9 Th 0.7303 0.6996 0.9650
10 Te 0.5000 0.0000 0.5000
11 Ru 0.5000 0.5000 0.0000
12 Te 0.0000 0.0000 0.5000
13 Th 0.7653 0.3004 0.0350
14 Th 0.7654 0.3004 0.5307
15 Te 0.5000 0.0000 0.0000
16 Ru 0.0000 0.5000 0.5000

***

Entry 14:
This record from the Alexandria database describes crystalline Tl2TeIrRu at its relaxed geometry. The functional is GGA-PBE.

## Properties
Its space-group type is P4/mmm. The density of states at the Fermi level is 6.36 states/eV/f.u. The calculation puts the formation energy (no corrections) at 1.068 eV per atom. The energy is -20.67 eV per cell.

abc: 5.2219 5.2164 5.2219
angles: 90.00 90.00 90.00
Element x y z (fractional)
1 Tl 0.5000 0.0000 0.0000
2 Te 0.0000 0.5000 0.0000
3 Tl 0.0000 0.0000 0.5000
4 Ir 0.0000 0.0000 0.0000
5 Ru 0.5000 0.5000 0.5000

***

Entry 15:
This record from the Alexandria database describes crystalline Zr2TeIrRu at its relaxed geometry. The functional is GGA-PBE.

## Properties
Its space-group type is P4/mmm. The density of states at the Fermi level is 6.92 states/eV/f.u. The calculation puts the formation energy (no corrections) at 1.244 eV per atom. The energy is -32.15 eV per cell.

abc: 5.2210 4.7076 5.2210
angles: 90.00 90.00 90.00
Element x y z (fractional)
1 Ru 0.5000 0.5000 0.5000
2 Ir 0.0000 0.5000 0.0000
3 Zr 0.5000 0.0000 0.0000
4 Te 0.0000 0.0000 0.0000
5 Zr 0.0000 0.0000 0.5000

***

Entry 16:
This record from the Alexandria database describes crystalline Th2IrRu2 at its relaxed geometry. The functional is GGA-PBE.

## Properties
Its space-group type is P4/mbm. The density of states at the Fermi level is 3.95 states/eV/f.u. The value obtained for the calculated formation energy is -2.25 eV/f.u. The energy is -178.01 eV per cell.

abc: 7.2671 7.2671 7.8743
angles: 90.00 90.00 90.00
Element x y z (fractional)
1 Ru 0.3727 0.8727 0.7500
2 Ru 0.8727 0.6273 0.7500
3 Ru 0.8727 0.6273 0.2500
4 Th 0.8110 0.3109 0.5000
5 Th 0.6891 0.8110 0.5000
6 Th 0.6890 0.8109 0.0000
7 Ru 0.6273 0.1273 0.7500
8 Th 0.3109 0.1890 0.5000
9 Ir 0.0000 0.0000 0.2497
10 Ru 0.3727 0.8727 0.2500
11 Ru 0.1273 0.3727 0.2500
12 Ir 0.5000 0.5000 0.7497
13 Ir 0.5000 0.5000 0.2503
14 Th 0.8109 0.3110 0.0000
15 Th 0.3110 0.1891 0.0000
16 Ir 0.0000 0.0000 0.7503
17 Th 0.1891 0.6890 0.0000
18 Ru 0.6273 0.1273 0.2500
19 Th 0.1890 0.6891 0.5000
20 Ru 0.1273 0.3727 0.7500

***

Entry 17:
This record from the Alexandria database describes crystalline ThIrRu at its relaxed geometry. The functional is GGA-PBE.

## Properties
Its space-group type is P-6m2. The energy relative to the lowest polymorph listed for this composition comes out at 161 meV/atom. The density of states at the Fermi level is 5.59 states/eV/f.u. The value obtained for the calculated formation energy is -1.26 eV/f.u. The energy is -26.82 eV per cell.

abc: 3.9975 4.3283 4.3283
angles: 120.00 90.00 90.00
Element x y z (fractional)
1 Ru 0.1667 0.0000 0.0000
2 Ir 0.1668 0.3333 0.6667
3 Th 0.6665 0.6667 0.3333

***

Entry 18:
This record from the Alexandria database describes crystalline ThIrRu at its relaxed geometry. The functional is GGA-PBE.

## Properties
Its space-group type is Imma. The energy relative to the lowest polymorph listed for this composition comes out at 0 meV/atom. The density of states at the Fermi level is 3.08 states/eV/f.u. The value obtained for the calculated formation energy is -1.75 eV/f.u. The energy is -54.61 eV per cell.

abc: 5.4705 5.4705 5.4705
angles: 91.67 58.14 120.09
Element x y z (fractional)
1 Ir 0.0000 0.5000 0.0000
2 Th 0.7500 0.8737 0.3763
3 Ru 0.0000 0.5000 0.5000
4 Ru 0.5000 0.5000 0.0000
5 Th 0.2500 0.1263 0.6237
6 Ir 0.5000 0.0000 0.0000

***

Entry 19:
This record from the Alexandria database describes crystalline ThIr2Ru at its relaxed geometry. The functional is GGA-PBE.

## Properties
Its space-group type is P4/mmm. The density of states at the Fermi level is 5.13 states/eV/f.u. The value obtained for the calculated formation energy is -1.63 eV/f.u. The energy is -36.05 eV per cell.

abc: 4.1682 4.1341 4.1341
angles: 90.00 90.00 90.00
Element x y z (fractional)
1 Ru 0.5000 0.5000 0.5000
2 Ir 0.0000 0.5000 0.0000
3 Th 0.5000 0.0000 0.0000
4 Ir 0.0000 0.0000 0.5000

***

Entry 20:
This record from the Alexandria database describes crystalline Th2IrRu at its relaxed geometry. The functional is GGA-PBE.

## Properties
Its space-group type is R-3m. The density of states at the Fermi level is 2.56 states/eV/f.u. The value obtained for the calculated formation energy is -2.58 eV/f.u. The energy is -35.55 eV per cell.

abc: 4.0843 4.0843 7.0910
angles: 73.26 73.26 60.00
Element x y z (fractional)
1 Ru 0.5000 0.5000 0.5000
2 Th 0.2486 0.2486 0.2543
3 Th 0.7514 0.7514 0.7457
4 Ir 0.0000 0.0000 0.0000